# 1
! Ca2AcSnN (PBE, optimized geometry); values from VASP
! Density (g/cm³): 5.6
! Crystal system: tetragonal
! SG: No. 123
! Uncorrected formation energy (kJ/mol of atoms): -88.31
&SYSTEM
  ibrav = 0, nat = 5, ntyp = 4
/
ATOMIC_SPECIES
Ca 40.08 Ca.upf
Ac 227.00 Ac.upf
Sn 118.71 Sn.upf
N 14.01 N.upf
CELL_PARAMETERS angstrom
4.990 0.000 0.000
0.000 4.990 0.000
0.000 0.000 5.260
ATOMIC_POSITIONS crystal
Ca 0.000 0.500 0.000
Ca 0.500 0.000 0.000
Ac 0.000 0.000 0.500
Sn 0.500 0.500 0.500
N 0.000 0.000 0.000

=====

# 2
! ZrRu2Br (PBE, optimized geometry); values from VASP
! Density (g/cm³): 9.1
! Crystal system: tetragonal
! SG: No. 139
! Uncorrected formation energy (kJ/mol of atoms): 37.84
&SYSTEM
  ibrav = 0, nat = 8, ntyp = 3
/
ATOMIC_SPECIES
Zr 91.22 Zr.upf
Ru 101.07 Ru.upf
Br 79.90 Br.upf
CELL_PARAMETERS angstrom
3.976 0.000 0.000
0.000 3.976 0.000
0.000 0.000 8.572
ATOMIC_POSITIONS crystal
Zr 0.000 0.000 0.000
Zr 0.500 0.500 0.500
Ru 0.000 0.500 0.250
Ru 0.000 0.500 0.750
Ru 0.500 0.000 0.250
Ru 0.500 0.000 0.750
Br 0.000 0.000 0.500
Br 0.500 0.500 0.000

=====

# 3
! Ag2SbAu (PBE, optimized geometry); values from VASP
! Density (g/cm³): 10.9
! Crystal system: orthorhombic
! SG: No. 65
! Uncorrected formation energy (kJ/mol of atoms): 7.09
&SYSTEM
  ibrav = 0, nat = 8, ntyp = 3
/
ATOMIC_SPECIES
Ag 107.87 Ag.upf
Sb 121.76 Sb.upf
Au 196.97 Au.upf
CELL_PARAMETERS angstrom
4.346 0.000 0.000
0.000 4.362 0.000
0.000 0.000 8.608
ATOMIC_POSITIONS crystal
Ag 0.000 0.000 0.229
Ag 0.000 0.000 0.771
Ag 0.500 0.500 0.229
Ag 0.500 0.500 0.771
Sb 0.000 0.500 0.500
Sb 0.500 0.000 0.500
Au 0.000 0.500 0.000
Au 0.500 0.000 0.000

=====

# 4
! ReSbAs2 (PBE, optimized geometry); values from VASP
! Density (g/cm³): 7.2
! Crystal system: tetragonal
! SG: No. 122
! Uncorrected formation energy (kJ/mol of atoms): 47.67
&SYSTEM
  ibrav = 0, nat = 16, ntyp = 3
/
ATOMIC_SPECIES
Re 186.21 Re.upf
Sb 121.76 Sb.upf
As 74.92 As.upf
CELL_PARAMETERS angstrom
6.100 0.000 0.000
0.000 6.100 0.000
0.000 0.000 11.322
ATOMIC_POSITIONS crystal
Re 0.000 0.000 0.000
Re 0.000 0.500 0.250
Re 0.500 0.000 0.750
Re 0.500 0.500 0.500
Sb 0.000 0.000 0.500
Sb 0.000 0.500 0.750
Sb 0.500 0.000 0.250
Sb 0.500 0.500 0.000
As 0.193 0.250 0.125
As 0.250 0.693 0.375
As 0.250 0.807 0.875
As 0.307 0.250 0.625
As 0.693 0.750 0.625
As 0.750 0.193 0.875
As 0.750 0.307 0.375
As 0.807 0.750 0.125